[1]
This record from Alexandria via LeMat-Bulk describes a relaxed structure of DyURu4. The functional is GGA-PBE.

Formation energy from the elements in eV/atom: -0.1664
Total energy in eV per atom: -8.9987

```
6
Lattice="0.000 3.756 3.756 3.756 0.000 3.756 3.756 3.756 0.000" Properties=species:S:1:pos:R:3 pbc="T T T"
Dy 0.000 0.000 0.000
U 1.878 1.878 1.878
Ru 4.696 2.817 2.817
Ru 2.817 4.696 2.817
Ru 2.817 2.817 4.696
Ru 4.696 4.696 4.696
```



[2]
This record from Alexandria via LeMat-Bulk describes a relaxed structure of Zr3AgPd. The functional is GGA-PBE.

Formation energy from the elements in eV/atom: 0.5275
Total energy in eV per atom: -6.2102
E above lowest polymorph in kcal/mol of atoms: 0.000

```
5
Lattice="5.063 0.000 0.000 0.000 5.063 0.000 0.000 0.000 5.063" Properties=species:S:1:pos:R:3 pbc="T T T"
Zr 0.000 0.000 2.531
Zr 0.000 2.531 0.000
Zr 2.531 0.000 0.000
Ag 2.531 2.531 2.531
Pd 0.000 0.000 0.000
```